Run i
TlPbAu2 | GGA-PBE | relaxed

Lattice parameters (Å, degrees): 5.156 5.156 5.156 60.00 60.00 60.00
Positions (direct):
Pb 0.500 0.500 0.500
Tl 0.000 0.000 0.000
Au 0.250 0.250 0.250
Au 0.750 0.750 0.750

## Properties
Space group: Fm-3m, No. 225

=====

Run ii
TlPbAu2 | GGA-PBE | relaxed

Lattice parameters (Å, degrees): 4.398 3.964 5.980 70.84 90.00 90.00
Positions (direct):
Pb 0.000 0.478 0.419
Tl 0.500 0.772 0.834
Au 0.000 0.214 0.954
Au 0.500 0.036 0.293

## Properties
Space group: Pm, No. 6

=====

Run iii
TlPbAu2 | GGA-PBE | relaxed

Lattice parameters (Å, degrees): 6.175 6.175 6.175 148.04 128.09 62.27
Positions (direct):
Pb 0.525 0.525 0.000
Tl 0.233 0.733 0.500
Au 0.979 0.979 0.000
Au 0.763 0.263 0.500

## Properties
Space group: Imm2, No. 44

=====

Run iv
TlPbAu2 | GGA-PBE | relaxed

Lattice parameters (Å, degrees): 8.045 8.045 6.508 51.82 51.82 90.00
Positions (direct):
Pb 0.000 0.000 0.000
Pb 0.750 0.250 0.500
Tl 0.500 0.500 0.000
Tl 0.250 0.750 0.500
Au 0.625 0.125 0.250
Au 0.125 0.625 0.250
Au 0.375 0.375 0.750
Au 0.875 0.875 0.750

## Properties
Space group: I-42d, No. 122

=====

Which structure is the most stable? The one labeled run ii.

=====

Run i
TlPb3Au3 | GGA-PBE | relaxed

Lattice parameters (Å, degrees): 7.929 7.929 7.929 90.00 90.00 90.00
Positions (direct):
Pb 0.000 0.250 0.500
Pb 0.000 0.750 0.500
Pb 0.500 0.000 0.750
Pb 0.750 0.500 0.000
Pb 0.500 0.000 0.250
Pb 0.250 0.500 0.000
Tl 0.500 0.500 0.500
Tl 0.000 0.000 0.000
Au 0.250 0.000 0.500
Au 0.000 0.500 0.250
Au 0.500 0.750 0.000
Au 0.750 0.000 0.500
Au 0.000 0.500 0.750
Au 0.500 0.250 0.000

## Properties
Space group: Pm-3n, No. 223

=====

Run ii
TlPb3Au3 | GGA-PBE | relaxed

Lattice parameters (Å, degrees): 7.776 7.776 8.413 62.47 62.47 60.00
Positions (direct):
Tl 0.584 0.584 0.249
Tl 0.416 0.416 0.751
Pb 0.421 0.880 0.820
Pb 0.880 0.880 0.820
Pb 0.880 0.421 0.820
Pb 0.120 0.579 0.180
Pb 0.120 0.120 0.180
Pb 0.579 0.120 0.180
Au 0.283 0.283 0.526
Au 0.908 0.283 0.526
Au 0.283 0.908 0.526
Au 0.717 0.092 0.474
Au 0.092 0.717 0.474
Au 0.717 0.717 0.474

## Properties
Space group: R-3m, No. 166

=====

Which structure is the most stable? The one labeled run ii.

=====

Run i
TmPb2Au | GGA-PBE | relaxed

Lattice parameters (Å, degrees): 3.529 3.529 10.828 80.62 80.62 60.00
Positions (direct):
Pb 0.098 0.098 0.706
Pb 0.902 0.902 0.294
Tm 0.000 0.000 0.000
Au 0.500 0.500 0.500

## Properties
Space group: R-3m, No. 166

=====

Run ii
TmPb2Au | GGA-PBE | relaxed

Lattice parameters (Å, degrees): 4.543 4.706 4.706 90.00 90.00 90.00
Positions (direct):
Pb 0.000 0.000 0.500
Pb 0.000 0.500 0.000
Tm 0.500 0.500 0.500
Au 0.500 0.000 0.000

## Properties
Space group: P4/mmm, No. 123

=====

Which structure is the most stable? The one labeled run ii.

=====

Run i
Tm5Pb2Au | GGA-PBE | relaxed

Lattice parameters (Å, degrees): 5.696 8.056 14.383 90.00 90.00 110.70
Positions (direct):
Tm 0.945 0.890 0.880
Tm 0.945 0.890 0.620
Tm 0.291 0.583 0.413
Tm 0.291 0.583 0.087
Tm 0.724 0.449 0.250
Tm 0.276 0.551 0.750
Tm 0.709 0.417 0.587
Tm 0.709 0.417 0.913
Tm 0.055 0.110 0.120
Tm 0.055 0.110 0.380
Pb 0.858 0.716 0.427
Pb 0.858 0.716 0.073
Pb 0.142 0.284 0.573
Pb 0.142 0.284 0.927
Au 0.811 0.622 0.750
Au 0.189 0.378 0.250

## Properties
Space group: Cmcm, No. 63

=====

Run ii
Tm5Pb2Au | GGA-PBE | relaxed

Lattice parameters (Å, degrees): 4.612 7.903 12.165 90.00 90.00 90.00
Positions (direct):
Tm 0.000 0.000 0.500
Tm 0.000 0.500 0.000
Tm 0.000 0.844 0.213
Tm 0.000 0.156 0.787
Tm 0.000 0.656 0.713
Tm 0.000 0.344 0.287
Tm 0.500 0.685 0.432
Tm 0.500 0.315 0.568
Tm 0.500 0.815 0.932
Tm 0.500 0.185 0.068
Pb 0.500 0.570 0.171
Pb 0.500 0.430 0.829
Pb 0.500 0.930 0.671
Pb 0.500 0.070 0.329
Au 0.000 0.500 0.500
Au 0.000 0.000 0.000

## Properties
Space group: Pbam, No. 55

=====

Which structure is the most stable? The one labeled run ii.

=====

Run i
VPb3Au | GGA-PBE | relaxed

Lattice parameters (Å, degrees): 5.287 5.287 5.287 90.00 90.00 90.00
Positions (direct):
Pb 0.000 0.500 0.000
Pb 0.000 0.000 0.500
Pb 0.500 0.000 0.000
Au 0.500 0.500 0.500
V 0.000 0.000 0.000

## Properties
Space group: Pm-3m, No. 221

=====

Run ii
VPb3Au | GGA-PBE | relaxed

Lattice parameters (Å, degrees): 5.517 5.517 5.517 90.00 90.00 90.00
Positions (direct):
Pb 0.000 0.500 0.000
Pb 0.000 0.000 0.500
Pb 0.500 0.000 0.000
Au 0.000 0.000 0.000
V 0.500 0.500 0.500

## Properties
Space group: Pm-3m, No. 221

=====

Which structure is the most stable? The one labeled run i.

=====

Run i
Pb3WAu | GGA-PBE | relaxed

Lattice parameters (Å, degrees): 5.479 5.479 5.479 90.00 90.00 90.00
Positions (direct):
Pb 0.000 0.500 0.000
Pb 0.000 0.000 0.500
Pb 0.500 0.000 0.000
Au 0.000 0.000 0.000
W 0.500 0.500 0.500

## Properties
Space group: Pm-3m, No. 221

=====

Run ii
Pb3WAu | GGA-PBE | relaxed

Lattice parameters (Å, degrees): 5.386 5.386 5.386 90.00 90.00 90.00
Positions (direct):
Pb 0.000 0.500 0.000
Pb 0.000 0.000 0.500
Pb 0.500 0.000 0.000
Au 0.500 0.500 0.500
W 0.000 0.000 0.000

## Properties
Space group: Pm-3m, No. 221

=====

Which structure is the most stable? The one labeled run ii.

=====

Run i
Pb2WAu | GGA-PBE | relaxed

Lattice parameters (Å, degrees): 11.204 11.204 11.204 15.94 15.94 15.94
Positions (direct):
Au 0.750 0.750 0.750
Pb 0.992 0.992 0.992
Pb 0.508 0.508 0.508
W 0.250 0.250 0.250

## Properties
Space group: R-3m, No. 166

=====

Run ii
Pb2WAu | GGA-PBE | relaxed

Lattice parameters (Å, degrees): 5.357 5.357 3.072 90.00 90.00 89.91
Positions (direct):
Au 0.000 0.500 0.500
Pb 0.000 0.000 0.000
Pb 0.500 0.500 0.000
W 0.500 0.000 0.500

## Properties
Space group: Cmmm, No. 65

=====

Run iii
Pb2WAu | GGA-PBE | relaxed

Lattice parameters (Å, degrees): 3.085 3.878 8.010 90.00 90.00 90.00
Positions (direct):
Au 0.500 0.500 0.707
Pb 0.000 0.000 0.940
Pb 0.500 0.500 0.307
W 0.000 0.000 0.546

## Properties
Space group: Pmm2, No. 25

=====

Which structure is the most stable? The one labeled run iii.

=====

Run i
Pb2WAu | GGA-PBE | relaxed

Lattice parameters (Å, degrees): 5.079 5.079 5.079 60.00 60.00 60.00
Positions (direct):
Au 0.500 0.500 0.500
Pb 0.000 0.000 0.000
Pb 0.250 0.250 0.250
W 0.750 0.750 0.750

## Properties
Space group: F-43m, No. 216

=====

Run ii
Pb2WAu | GGA-PBE | relaxed

Lattice parameters (Å, degrees): 4.999 4.999 4.999 60.00 60.00 60.00
Positions (direct):
Pb 0.250 0.250 0.250
Pb 0.750 0.750 0.750
Au 0.500 0.500 0.500
W 0.000 0.000 0.000

## Properties
Space group: Fm-3m, No. 225

=====

Run iii
Pb2WAu | GGA-PBE | relaxed

Lattice parameters (Å, degrees): 4.434 3.769 5.730 70.71 90.00 90.00
Positions (direct):
Au 0.500 0.552 0.771
Pb 0.000 0.975 0.924
Pb 0.500 0.275 0.326
W 0.000 0.698 0.478

## Properties
Space group: Pm, No. 6

=====

Run iv
Pb2WAu | GGA-PBE | relaxed

Lattice parameters (Å, degrees): 7.936 7.936 6.405 51.72 51.72 90.00
Positions (direct):
Pb 0.625 0.125 0.250
Pb 0.125 0.625 0.250
Pb 0.375 0.375 0.750
Pb 0.875 0.875 0.750
Au 0.000 0.000 0.000
Au 0.750 0.250 0.500
W 0.500 0.500 0.000
W 0.250 0.750 0.500

## Properties
Space group: I-42d, No. 122

=====

Which structure is the most stable? The one labeled run iii.

=====

Run i
Pb2WAu | GGA-PBE | relaxed

Lattice parameters (Å, degrees): 3.061 3.061 10.290 90.00 90.00 89.98
Positions (direct):
Au 0.500 0.500 0.712
Pb 0.000 0.000 0.941
Pb 0.500 0.500 0.311
W 0.000 0.000 0.536

## Properties
Space group: P4mm, No. 99

=====

Run ii
Pb2WAu | GGA-PBE | relaxed

Lattice parameters (Å, degrees): 7.268 7.268 7.268 155.84 141.26 46.18
Positions (direct):
Au 0.317 0.817 0.500
Pb 0.992 0.992 0.000
Pb 0.698 0.198 0.500
W 0.493 0.493 0.000

## Properties
Space group: Imm2, No. 44

=====

Which structure is the most stable? The one labeled run i.

=====

Run i
Pb2WAu | GGA-PBE | relaxed

Lattice parameters (Å, degrees): 5.425 5.425 5.610 84.71 84.71 32.52
Positions (direct):
Au 0.750 0.750 0.750
Pb 0.987 0.987 0.008
Pb 0.513 0.513 0.492
W 0.250 0.250 0.250

## Properties
Space group: C2/m, No. 12

=====

Run ii
Pb2WAu | GGA-PBE | relaxed

Lattice parameters (Å, degrees): 5.738 5.738 5.738 136.74 136.74 62.84
Positions (direct):
Au 0.750 0.250 0.500
Pb 0.000 0.000 0.000
Pb 0.250 0.750 0.500
W 0.500 0.500 0.000

## Properties
Space group: I-4m2, No. 119

=====

Which structure is the most stable? The one labeled run i.

=====

Run i
PbWAu | GGA-PBE | relaxed

Lattice parameters (Å, degrees): 7.585 7.586 2.984 78.63 78.68 22.69
Positions (direct):
Au 0.972 0.972 0.028
Pb 0.682 0.682 0.318
W 0.346 0.346 0.654

## Properties
Space group: Fmm2, No. 42

=====

Run ii
PbWAu | GGA-PBE | relaxed

Lattice parameters (Å, degrees): 4.630 4.630 4.630 60.00 60.00 60.00
Positions (direct):
Au 0.000 0.000 0.000
Pb 0.500 0.500 0.500
W 0.750 0.750 0.750

## Properties
Space group: F-43m, No. 216

=====

Which structure is the most stable? The one labeled run i.